No. 1
{"formula": "Mg2Ag8Bi", "functional": "GGA-PBE", "state": "relaxed", "sg": "C2/m", "energy_ev_per_cell": -30.57, "ef_mev_per_atom": -63, "lattice_angstrom": [[7.725, -2.059, 0.000], [7.725, 2.059, 0.000], [-1.912, 0.000, 6.635]], "species": ["Mg", "Mg", "Ag", "Ag", "Ag", "Ag", "Ag", "Ag", "Ag", "Ag", "Bi"], "frac_coords": [[0.222, 0.222, 0.151], [0.778, 0.778, 0.849], [0.045, 0.045, 0.213], [0.147, 0.147, 0.703], [0.316, 0.316, 0.591], [0.403, 0.403, 0.037], [0.597, 0.597, 0.963], [0.684, 0.684, 0.409], [0.853, 0.853, 0.297], [0.955, 0.955, 0.787], [0.500, 0.500, 0.500]]}

***

No. 2
{"formula": "LiTa2Si", "functional": "GGA-PBE", "state": "relaxed", "sg": "C2/m", "energy_ev_per_cell": -30.57, "formation_energy_uncorrected_ev_per_atom": 0.1178, "lattice_angstrom": [[5.064, -1.379, 0.000], [5.064, 1.379, 0.000], [-1.255, 0.000, 4.885]], "species": ["Li", "Ta", "Ta", "Si"], "frac_coords": [[0.000, 0.000, 0.000], [0.224, 0.224, 0.733], [0.776, 0.776, 0.267], [0.500, 0.500, 0.500]]}

***

No. 3
{"formula": "Tm2Zn12Cu5", "functional": "GGA-PBE", "state": "relaxed", "sg": "R-3m", "energy_ev_per_cell": -48.87, "ef_mev_per_atom": -219, "lattice_angstrom": [[4.400, 2.541, 4.303], [-4.400, 2.541, 4.303], [0.000, -5.081, 4.303]], "species": ["Tm", "Tm", "Zn", "Zn", "Zn", "Zn", "Zn", "Zn", "Zn", "Zn", "Zn", "Zn", "Zn", "Zn", "Cu", "Cu", "Cu", "Cu", "Cu"], "frac_coords": [[0.166, 0.166, 0.166], [0.834, 0.834, 0.834], [0.152, 0.152, 0.649], [0.152, 0.649, 0.152], [0.208, 0.500, 0.792], [0.208, 0.792, 0.500], [0.351, 0.848, 0.848], [0.500, 0.208, 0.792], [0.500, 0.792, 0.208], [0.649, 0.152, 0.152], [0.792, 0.208, 0.500], [0.792, 0.500, 0.208], [0.848, 0.351, 0.848], [0.848, 0.848, 0.351], [0.000, 0.500, 0.500], [0.399, 0.399, 0.399], [0.500, 0.000, 0.500], [0.500, 0.500, 0.000], [0.601, 0.601, 0.601]]}

***

No. 4
{"formula": "YGa2Ag3", "functional": "GGA-PBE", "state": "relaxed", "relative_energy_ev_per_fu": 0.00, "sg": "C2/m", "energy_ev_per_cell": -45.51, "ef_mev_per_atom": -281, "lattice_angstrom": [[7.943, -2.229, 0.000], [7.943, 2.229, 0.000], [-2.152, 0.000, 6.603]], "species": ["Y", "Y", "Ga", "Ga", "Ga", "Ga", "Ag", "Ag", "Ag", "Ag", "Ag", "Ag"], "frac_coords": [[0.120, 0.120, 0.177], [0.880, 0.880, 0.823], [0.232, 0.232, 0.670], [0.488, 0.488, 0.177], [0.512, 0.512, 0.823], [0.768, 0.768, 0.330], [0.067, 0.067, 0.692], [0.309, 0.309, 0.073], [0.366, 0.366, 0.499], [0.634, 0.634, 0.501], [0.691, 0.691, 0.927], [0.933, 0.933, 0.308]]}

***

Please write out number 2 again, unchanged.
{"formula": "LiTa2Si", "functional": "GGA-PBE", "state": "relaxed", "sg": "C2/m", "energy_ev_per_cell": -30.57, "formation_energy_uncorrected_ev_per_atom": 0.1178, "lattice_angstrom": [[5.064, -1.379, 0.000], [5.064, 1.379, 0.000], [-1.255, 0.000, 4.885]], "species": ["Li", "Ta", "Ta", "Si"], "frac_coords": [[0.000, 0.000, 0.000], [0.224, 0.224, 0.733], [0.776, 0.776, 0.267], [0.500, 0.500, 0.500]]}